Here is a relaxed structure of La2PrThBi4 from Alexandria. Energies are from PBE.

Computed properties:
Its total moment is 0.0 μB per cell. The density of states at the Fermi level is 1.96 states/eV/cell. Its formation energy is -0.931 eV/atom.

a = 8.058 Å, b = 4.660 Å, c = 8.076 Å
α = 90.00°, β = 109.42°, γ = 90.00°
Space group P2/m (No. 10)
Asymmetric unit:
La 0.000 0.000 0.000 [1 per cell]
La 0.500 0.500 0.000 [1 per cell]
Pr 0.000 0.500 0.500 [1 per cell]
Th 0.500 0.000 0.500 [1 per cell]
Bi 0.251 0.000 0.746 [2 per cell]
Bi 0.253 0.500 0.255 [2 per cell]